WI2NF: optimized geometry, PBE+U.

Values from the calculation:
calculated volume	115.8	Å³/f.u.
density of states at the Fermi level	4.4	states/eV per cell
M_tot	0.007	μB/atom
polymorph energy (0 for the lowest one)	0	meV/atom
calculated total energy	-19.1	eV per formula unit

Unit cell a=5.498 b=5.498 c=3.832 alpha=90.00 beta=90.00 gamma=90.00
Atoms (fractional coordinates):
W (0.000, 0.000, 0.000)
I (0.000, 0.500, 0.000)
I (0.500, 0.000, 0.000)
N (0.000, 0.000, 0.500)
F (0.500, 0.500, 0.500)